Density functional theory data (PBE) for a geometry-optimized CsBaTaMn2 structure.

a = 4.804 Å, b = 6.135 Å, c = 4.804 Å
α = 90.00°, β = 90.00°, γ = 90.00°
Fractional coordinates of all 5 atoms:
Ba (0.500, 0.500, 0.500)
Cs (0.000, 0.500, 0.000)
Mn (0.000, 0.000, 0.500)
Mn (0.500, 0.000, 0.000)
Ta (0.000, 0.000, 0.000)

## Properties
**Energy**: -0.183 hartree per atom